Entry 1:
ZnNi4Pt: optimized geometry, PBE.

```
ZnNi4Pt
1.0
1.8351 -5.4631 0.0000
1.8351 5.4631 0.0000
0.0000 0.0000 3.6459
Zn Ni Pt
1 4 1
Direct
0.0000 0.0000 0.0000
0.1744 0.8256 0.5000
0.3262 0.6738 0.0000
0.6738 0.3262 0.0000
0.8256 0.1744 0.5000
0.5000 0.5000 0.5000
```

Computed properties:
polymorph energy (0 for the lowest one) = 0 meV per atom
calculated volume = 73 Å³/cell
SG = Cmmm, No. 65
crystal system = orthorhombic
electronic total energy = -31.289 eV per cell
calculated formation energy = -0.85 eV per formula unit

Entry 2:
RbLiZnPbSe: optimized geometry, PBE.

```
RbLiZnPbSe
1.0
2.0806 1.2012 9.6610
-2.0806 1.2012 9.6610
0.0000 -2.4025 9.6610
Rb Li Zn Pb Se
1 1 1 1 1
Direct
0.0000 0.0000 0.0000
0.8876 0.8876 0.8876
0.4997 0.4997 0.4997
0.7743 0.7743 0.7743
0.5832 0.5832 0.5832
```

Computed properties:
polymorph energy (0 for the lowest one) = 62 meV per atom
calculated volume = 145 Å³/cell
SG = R3m, No. 160
crystal system = trigonal
formation energy (no corrections) = -508.2 meV per atom
electronic total energy = -13.889 eV per cell

Entry 3:
Na2InReO6: optimized geometry, PBE.

```
Na2InReO6
1.0
2.8015 1.6174 4.5912
-2.8015 1.6174 4.5912
0.0000 -3.2349 4.5912
Na In Re O
2 1 1 6
Direct
0.2442 0.2442 0.2442
0.7558 0.7558 0.7558
0.5000 0.5000 0.5000
0.0000 0.0000 0.0000
0.1525 0.3121 0.7725
0.2275 0.8475 0.6879
0.3121 0.7725 0.1525
0.6879 0.2275 0.8475
0.7725 0.1525 0.3121
0.8475 0.6879 0.2275
```

Computed properties:
calculated volume = 125 Å³/cell
SG = R-3, No. 148
crystal system = trigonal
formation energy (no corrections) = -1641.8 meV per atom
electronic total energy = -63.992 eV per cell

Entry 4:
Th3Cu4Ni2: optimized geometry, PBE.

```
Th3Cu4Ni2
1.0
5.2170 -2.1394 0.0000
5.2170 2.1394 0.0000
-2.8214 0.0000 7.7124
Th Cu Ni
3 4 2
Direct
0.0000 0.0000 0.0000
0.3266 0.3266 0.3407
0.6734 0.6734 0.6593
0.0472 0.0472 0.3825
0.2791 0.2791 0.9448
0.7209 0.7209 0.0552
0.9528 0.9528 0.6175
0.3943 0.3943 0.7255
0.6057 0.6057 0.2745
```

Computed properties:
calculated volume = 172 Å³/cell
SG = C2/m, No. 12
crystal system = monoclinic
electronic total energy = -52.803 eV per cell
calculated formation energy = -2.60 eV per formula unit

Entry 5:
LiTePCl2: optimized geometry, PBE.

```
LiTePCl2
1.0
5.6705 0.0000 0.0000
0.0000 5.6705 0.0000
0.0000 0.0000 4.9131
Li Te P Cl
1 1 1 2
Direct
0.0000 0.0000 0.0000
0.5000 0.5000 0.5000
0.5000 0.5000 0.0000
0.0000 0.5000 0.5000
0.5000 0.0000 0.5000
```

Computed properties:
polymorph energy (0 for the lowest one) = 0 meV per atom
calculated volume = 158 Å³/cell
SG = P4/mmm, No. 123
crystal system = tetragonal
formation energy (no corrections) = -65.7 meV per atom
electronic total energy = -14.487 eV per cell

Entry 6:
PrB2Os2: optimized geometry, PBE.

```
PrB2Os2
1.0
0.0000 4.5966 5.0502
3.3132 0.0000 5.0502
3.3132 4.5966 0.0000
Pr B Os
2 4 4
Direct
0.1250 0.1250 0.1250
0.8750 0.8750 0.8750
0.1908 0.5592 0.1908
0.4408 0.8092 0.4408
0.5592 0.1908 0.5592
0.8092 0.4408 0.8092
0.2384 0.2384 0.5116
0.4884 0.4884 0.7616
0.5116 0.5116 0.2384
0.7616 0.7616 0.4884
```

Computed properties:
polymorph energy (0 for the lowest one) = 0 meV per atom
calculated volume = 154 Å³/cell
SG = Fddd, No. 70
crystal system = orthorhombic
electronic total energy = -85.390 eV per cell
calculated formation energy = -2.10 eV per formula unit

Entry 7:
SrCuPdC2: optimized geometry, PBE.

```
SrCuPdC2
1.0
4.1523 0.0000 0.0000
0.0000 4.1523 0.0000
0.0000 0.0000 4.6983
Sr Cu Pd C
1 1 1 2
Direct
0.0000 0.0000 0.0000
0.5000 0.5000 0.0000
0.5000 0.5000 0.5000
0.0000 0.5000 0.5000
0.5000 0.0000 0.5000
```

Computed properties:
calculated volume = 81 Å³/cell
SG = P4/mmm, No. 123
crystal system = tetragonal
electronic total energy = -22.975 eV per cell
calculated formation energy = 6.44 eV per formula unit

Entry 8:
Ba2TeS5: optimized geometry, PBE.

```
Ba2TeS5
1.0
-3.6833 3.6833 4.2897
3.6833 -3.6833 4.2897
3.6833 3.6833 -4.2897
Ba Te S
2 1 5
Direct
0.0000 0.5000 0.5000
0.5000 0.0000 0.5000
0.2967 0.2967 0.0000
0.0018 0.0018 0.5354
0.0018 0.4664 0.0000
0.4664 0.0018 0.0000
0.4664 0.4664 0.4646
0.5731 0.5731 0.0000
```

Computed properties:
calculated volume = 233 Å³/cell
SG = I4mm, No. 107
crystal system = tetragonal
formation energy (no corrections) = -926.3 meV per atom
electronic total energy = -35.035 eV per cell

Entry 9:
Dy3TeCl2O6: optimized geometry, PBE.

```
Dy3TeCl2O6
1.0
5.8749 -3.3191 0.0000
5.8749 3.3191 0.0000
-0.9686 0.0000 5.3964
Dy Te Cl O
3 1 2 6
Direct
0.0000 0.0000 0.0000
0.0000 0.5000 0.5000
0.5000 0.0000 0.5000
0.5000 0.5000 0.5000
0.2026 0.2026 0.8465
0.7974 0.7974 0.1535
0.1923 0.6830 0.7057
0.3170 0.8077 0.2943
0.3306 0.3306 0.3291
0.6694 0.6694 0.6709
0.6830 0.1923 0.7057
0.8077 0.3170 0.2943
```

Computed properties:
calculated volume = 210 Å³/cell
SG = C2/m, No. 12
crystal system = monoclinic
formation energy (no corrections) = -2262.6 meV per atom
electronic total energy = -77.542 eV per cell

Entry 10:
MgTa2B6: optimized geometry, PBE.

```
MgTa2B6
1.0
5.3342 0.0000 0.0000
-2.6671 4.6196 0.0000
0.0000 0.0000 3.3583
Mg Ta B
1 2 6
Direct
0.0000 0.0000 0.0000
0.3333 0.6667 0.0000
0.6667 0.3333 0.0000
0.0000 0.3322 0.5000
0.0000 0.6678 0.5000
0.3322 0.0000 0.5000
0.3322 0.3322 0.5000
0.6678 0.0000 0.5000
0.6678 0.6678 0.5000
```

Computed properties:
calculated volume = 83 Å³/cell
SG = P6/mmm, No. 191
crystal system = hexagonal
electronic total energy = -70.397 eV per cell
calculated formation energy = -5.03 eV per formula unit

Entry 11:
Tc3Ge: optimized geometry, PBE.

```
Tc3Ge
1.0
5.4687 0.0000 0.0000
-2.7344 4.7360 0.0000
0.0000 0.0000 4.4870
Tc Ge
6 2
Direct
0.1702 0.3404 0.2500
0.1702 0.8298 0.2500
0.3404 0.1702 0.7500
0.6596 0.8298 0.2500
0.8298 0.1702 0.7500
0.8298 0.6596 0.7500
0.3333 0.6667 0.7500
0.6667 0.3333 0.2500
```

Computed properties:
calculated volume = 116 Å³/cell
SG = P6_3/mmc, No. 194
crystal system = hexagonal
electronic total energy = -70.894 eV per cell
calculated formation energy = 0.27 eV per formula unit

Entry 12:
LiHgRu2: optimized geometry, PBE.

```
LiHgRu2
1.0
4.3701 -1.4119 0.0000
4.3701 1.4119 0.0000
-0.6425 0.0000 5.0267
Li Hg Ru
1 1 2
Direct
0.0000 0.0000 0.0000
0.7522 0.7522 0.2032
0.2406 0.2406 0.7029
0.4988 0.4988 0.5414
```

Computed properties:
calculated volume = 62 Å³/cell
SG = Cm, No. 8
crystal system = monoclinic
electronic total energy = -19.773 eV per cell
calculated formation energy = 0.99 eV per formula unit